Li2TiF6: optimized geometry, PBE-GGA.

Output
* SG: P4_2/mnm
* V: 11.18 Å³ per atom
* energy relative to the elements, uncorrected: -3.25 eV per atom
* crystal system: tetragonal
* final energy: -5.799 eV per atom

a = 4.7150 Å, b = 4.7150 Å, c = 9.0553 Å
α = 90.00°, β = 90.00°, γ = 90.00°
With the nearest neighbours (Å) after each atom.
Fractional coordinates of all 18 atoms:
Li 0.5000 0.5000 0.1616  6 F 2.05-2.11
Li 0.0000 0.0000 0.6616  6 F 2.05-2.11
Li 0.5000 0.5000 0.8384  6 F 2.05-2.11
Li 0.0000 0.0000 0.3384  6 F 2.05-2.11
F 0.8070 0.1930 0.1533  1 Ti 1.89, 2 Li 2.05-2.11
F 0.7851 0.2149 0.5000  1 Ti 1.90, 2 Li 2.05
F 0.2851 0.2851 0.0000  1 Ti 1.90, 2 Li 2.05
F 0.6930 0.6930 0.6533  1 Ti 1.89, 2 Li 2.05-2.11
F 0.3070 0.3070 0.3467  1 Ti 1.89, 2 Li 2.05-2.11
F 0.3070 0.3070 0.6533  1 Ti 1.89, 2 Li 2.05-2.11
F 0.6930 0.6930 0.3467  1 Ti 1.89, 2 Li 2.05-2.11
F 0.1930 0.8070 0.1533  1 Ti 1.89, 2 Li 2.05-2.11
F 0.2149 0.7851 0.5000  1 Ti 1.90, 2 Li 2.05
F 0.7149 0.7149 0.0000  1 Ti 1.90, 2 Li 2.05
F 0.1930 0.8070 0.8467  1 Ti 1.89, 2 Li 2.05-2.11
F 0.8070 0.1930 0.8467  1 Ti 1.89, 2 Li 2.05-2.11
Ti 0.0000 0.0000 0.0000  6 F 1.89-1.90
Ti 0.5000 0.5000 0.5000  6 F 1.89-1.90